# 1
First-principles (PBE) data for a relaxed Be2AlGaRu crystal, as listed in Alexandria.

Summary:
calculated volume = 15.1 Å³ per atom
formation energy = 1.3026 eV/atom
size of the total moment = 0.39 μB/f.u.
total DFT energy (no corrections) = -16.985 eV per cell
crystal system = tetragonal
space-group type = P4/mmm
N(E_F) = 4.33 states/eV/f.u.

Lattice parameters (Å, degrees): 4.063 4.563 4.063 90.00 90.00 90.00
Each line ends with the local moment (μB).
Positions (direct):
Be 0.500 0.000 0.000  0.00
Be 0.000 0.000 0.500  0.00
Ru 0.500 0.500 0.500  0.36
Ga 0.000 0.500 0.000  0.00
Al 0.000 0.000 0.000  0.01

# 2
First-principles (PBE) data for a relaxed BeAlGaS4 crystal, as listed in Alexandria.

Summary:
calculated volume = 19.6 Å³ per atom
size of the total moment = 0.00 μB/f.u.
E_form (uncorrected) = -0.927 eV per atom
total DFT energy (no corrections) = -33.497 eV per cell
crystal system = tetragonal
space-group type = I-4
N(E_F) = 0.00 states/eV/f.u.

Lattice parameters (Å, degrees): 5.197 5.197 6.263 114.51 114.51 90.00
Positions (direct):
Ga 0.500 0.500 0.000
Be 0.250 0.750 0.500
Al 0.000 0.000 0.000
S 0.120 0.104 0.729
S 0.609 0.626 0.729
S 0.896 0.391 0.271
S 0.374 0.880 0.271

# 3
First-principles (PBE) data for a relaxed BeAlGa2Se6 crystal, as listed in Alexandria.

Summary:
calculated volume = 25.9 Å³ per atom
size of the total moment = 0.00 μB/f.u.
E_form (uncorrected) = -0.515 eV per atom
total DFT energy (no corrections) = -79.161 eV per cell
crystal system = monoclinic
space-group type = C2/c
N(E_F) = 1.67 states/eV/f.u.

Lattice parameters (Å, degrees): 6.412 9.542 9.542 94.66 71.90 71.90
Positions (direct):
Ga 0.774 0.601 0.781
Ga 0.226 0.399 0.219
Ga 0.726 0.219 0.399
Ga 0.274 0.781 0.601
Se 0.400 0.882 0.372
Se 0.507 0.555 0.665
Se 0.891 0.011 0.185
Se 0.993 0.335 0.445
Se 0.109 0.989 0.815
Se 0.609 0.815 0.989
Se 0.100 0.628 0.118
Se 0.007 0.665 0.555
Se 0.391 0.185 0.011
Se 0.900 0.372 0.882
Se 0.493 0.445 0.335
Se 0.600 0.118 0.628
Al 0.750 0.181 0.819
Al 0.250 0.819 0.181
Be 0.250 0.184 0.816
Be 0.750 0.816 0.184

# 4
First-principles (PBE) data for a relaxed BeAl2GaTe crystal, as listed in Alexandria.

Summary:
calculated volume = 21.6 Å³ per atom
size of the total moment = 0.00 μB/f.u.
E_form (uncorrected) = 0.394 eV per atom
total DFT energy (no corrections) = -15.409 eV per cell
crystal system = tetragonal
space-group type = P4/mmm
N(E_F) = 1.33 states/eV/f.u.

Lattice parameters (Å, degrees): 5.028 4.265 5.028 90.00 90.00 90.00
Positions (direct):
Ga 0.000 0.000 0.000
Be 0.000 0.500 0.000
Al 0.000 0.000 0.500
Al 0.500 0.000 0.000
Te 0.500 0.500 0.500

# 5
First-principles (PBE) data for a relaxed BeAlGa2Te crystal, as listed in Alexandria.

Summary:
calculated volume = 33.2 Å³ per atom
size of the total moment = 0.00 μB/f.u.
E_form (uncorrected) = 1.196 eV per atom
total DFT energy (no corrections) = -10.684 eV per cell
crystal system = tetragonal
space-group type = P4/mmm
N(E_F) = 2.73 states/eV/f.u.

Lattice parameters (Å, degrees): 5.604 5.290 5.604 90.00 90.00 90.00
Positions (direct):
Ga 0.000 0.000 0.500
Ga 0.500 0.000 0.000
Te 0.000 0.000 0.000
Be 0.500 0.500 0.500
Al 0.000 0.500 0.000

# 6
First-principles (PBE) data for a relaxed Gd2BeAl crystal, as listed in Alexandria.

Summary:
calculated volume = 22.3 Å³ per atom
formation energy = -0.1427 eV/atom
size of the total moment = 14.59 μB/f.u.
total DFT energy (no corrections) = -36.201 eV per cell
crystal system = tetragonal
space-group type = P4/mmm
N(E_F) = 2.62 states/eV/f.u.

Lattice parameters (Å, degrees): 3.500 3.500 7.269 90.00 90.00 90.00
Each line ends with the local moment (μB).
Positions (direct):
Be 0.500 0.500 0.000  -0.02
Gd 0.000 0.000 0.231  7.12
Gd 0.000 0.000 0.769  7.12
Al 0.500 0.500 0.500  -0.02

# 7
First-principles (PBE) data for a relaxed GdBeAl crystal, as listed in Alexandria.

Summary:
calculated volume = 20.0 Å³ per atom
formation energy = -0.1631 eV/atom
size of the total moment = 6.98 μB/f.u.
total DFT energy (no corrections) = -22.039 eV per cell
crystal system = cubic
space-group type = F-43m
N(E_F) = 1.07 states/eV/f.u.

Lattice parameters (Å, degrees): 4.396 4.396 4.396 60.00 60.00 60.00
Each line ends with the local moment (μB).
Positions (direct):
Gd 0.000 0.000 0.000  6.99
Be 0.250 0.250 0.250  -0.03
Al 0.500 0.500 0.500  -0.02

# 8
First-principles (PBE) data for a relaxed GdBeAl crystal, as listed in Alexandria.

Summary:
calculated volume = 19.5 Å³ per atom
formation energy = -0.2340 eV/atom
size of the total moment = 7.42 μB/f.u.
total DFT energy (no corrections) = -22.252 eV per cell
crystal system = hexagonal
space-group type = P-6m2
N(E_F) = 1.59 states/eV/f.u.

Lattice parameters (Å, degrees): 3.614 4.318 4.318 120.00 90.00 90.00
Each line ends with the local moment (μB).
Positions (direct):
Be 0.167 0.000 0.000  0.00
Gd 0.667 0.667 0.333  7.14
Al 0.167 0.333 0.667  -0.02

# 9
First-principles (PBE) data for a relaxed Gd2BeAl crystal, as listed in Alexandria.

Summary:
calculated volume = 22.6 Å³ per atom
formation energy = -0.1130 eV/atom
size of the total moment = 14.66 μB/f.u.
total DFT energy (no corrections) = -36.083 eV per cell
crystal system = cubic
space-group type = Fm-3m
N(E_F) = 3.57 states/eV/f.u.

Lattice parameters (Å, degrees): 5.036 5.036 5.036 60.00 60.00 60.00
Each line ends with the local moment (μB).
Positions (direct):
Be 0.500 0.500 0.500  0.00
Al 0.000 0.000 0.000  -0.02
Gd 0.750 0.750 0.750  7.12
Gd 0.250 0.250 0.250  7.12

# 10
First-principles (PBE) data for a relaxed GdHoBeAl crystal, as listed in Alexandria.

Summary:
calculated volume = 22.0 Å³ per atom
formation energy = -0.1194 eV/atom
size of the total moment = 7.32 μB/f.u.
total DFT energy (no corrections) = -26.605 eV per cell
crystal system = cubic
space-group type = F-43m
N(E_F) = 4.13 states/eV/f.u.

Lattice parameters (Å, degrees): 4.996 4.996 4.996 60.00 60.00 60.00
Each line ends with the local moment (μB).
Positions (direct):
Gd 0.750 0.750 0.750  -7.08
Ho 0.250 0.250 0.250  -0.07
Al 0.000 0.000 0.000  0.01
Be 0.500 0.500 0.500  0.00

# 11
First-principles (PBE) data for a relaxed GdLuBeAl crystal, as listed in Alexandria.

Summary:
calculated volume = 21.4 Å³ per atom
formation energy = -0.1253 eV/atom
size of the total moment = 7.19 μB/f.u.
total DFT energy (no corrections) = -26.572 eV per cell
crystal system = cubic
space-group type = F-43m
N(E_F) = 3.78 states/eV/f.u.

Lattice parameters (Å, degrees): 4.948 4.948 4.948 60.00 60.00 60.00
Each line ends with the local moment (μB).
Positions (direct):
Al 0.250 0.250 0.250  -0.01
Lu 0.500 0.500 0.500  0.03
Be 0.750 0.750 0.750  -0.01
Gd 0.000 0.000 0.000  7.05

# 12
First-principles (PBE) data for a relaxed NdGdBeAl crystal, as listed in Alexandria.

Summary:
calculated volume = 23.4 Å³ per atom
formation energy = -0.0706 eV/atom
size of the total moment = 7.48 μB/f.u.
total DFT energy (no corrections) = -26.600 eV per cell
crystal system = cubic
space-group type = F-43m
N(E_F) = 4.13 states/eV/f.u.

Lattice parameters (Å, degrees): 5.099 5.099 5.099 60.00 60.00 60.00
Each line ends with the local moment (μB).
Positions (direct):
Gd 0.250 0.250 0.250  7.10
Be 0.000 0.000 0.000  0.01
Al 0.500 0.500 0.500  -0.01
Nd 0.750 0.750 0.750  0.06